This record from the Alexandria database describes an optimized crystal structure of CaCrSe2. The functional is PBE.

abc: 4.992 4.992 4.992
angles: 60.00 60.00 60.00
Site moments in Bohr magnetons follow the coordinates.
Positions (direct):
Cr  0.750  0.750  0.750  3.99
Ca  0.500  0.500  0.500  0.07
Se  0.000  0.000  0.000  -0.27
Se  0.250  0.250  0.250  -0.21

Values from the calculation:
DOS at the Fermi energy = 0.6147 states/eV per atom
total magnetic moment = 1.01 μB per atom
formation energy (no corrections) = -119 meV/atom